# 1
{"formula": "InCuPt4", "functional": "PBE", "state": "relaxed", "spacegroup": "Pmmm (47)", "m_tot_mub_per_fu": 0.00, "energy_ev_per_atom": -5.270, "vol_a3_per_atom": 16.7, "lattice": [[2.8649, 0.0009, -0.0040], [-0.0016, 4.5930, -0.0026], [0.0094, 0.0043, 7.6258]], "species": ["In", "Cu", "Pt", "Pt", "Pt", "Pt"], "fractional_positions": [[0.5014, 0.4974, 0.9982], [0.0010, 0.9969, 0.4981], [0.5013, 0.9974, 0.2122], [0.5013, 0.9974, 0.7840], [0.0013, 0.4973, 0.6859], [0.0015, 0.4973, 0.3105]]}


# 2
{"formula": "InCuPt4", "functional": "PBE", "state": "relaxed", "spacegroup": "Cmc2_1 (36)", "m_tot_mub_per_fu": 0.00, "energy_ev_per_atom": -5.212, "vol_a3_per_atom": 18.7, "lattice": [[4.2714, 0.0000, -1.1170], [0.0000, 5.4646, 0.0000], [0.2129, 0.0000, 9.5391]], "species": ["In", "In", "Cu", "Cu", "Pt", "Pt", "Pt", "Pt", "Pt", "Pt", "Pt", "Pt"], "fractional_positions": [[0.5654, 0.8232, 0.1307], [0.4346, 0.3232, 0.8693], [0.8433, 0.8217, 0.6865], [0.1567, 0.3217, 0.3135], [0.8394, 0.3213, 0.6788], [0.1606, 0.8213, 0.3212], [0.4231, 0.8234, 0.8461], [0.5769, 0.3234, 0.1539], [0.7050, 0.5717, 0.4101], [0.2950, 0.0717, 0.5899], [0.7046, 0.0721, 0.4092], [0.2954, 0.5721, 0.5908]]}


# 3
{"formula": "In2CuPt", "functional": "PBE", "state": "relaxed", "spacegroup": "Pmm2 (25)", "m_tot_mub_per_fu": 0.00, "energy_ev_per_atom": -4.055, "vol_a3_per_atom": 18.6, "lattice": [[-1.4589, 3.1838, 0.8642], [-2.6715, -1.7323, 1.8720], [3.1240, 0.1769, 4.6219]], "species": ["Cu", "In", "In", "Pt"], "fractional_positions": [[0.5000, 0.5000, 0.7644], [0.0000, 0.0000, 0.9661], [0.5000, 0.5000, 0.2853], [0.0000, 0.0000, 0.4843]]}


# 4
{"formula": "InCu2Pt7", "functional": "PBE", "state": "relaxed", "spacegroup": "Cmmm (65)", "m_tot_mub_per_fu": 0.00, "energy_ev_per_atom": -4.987, "vol_a3_per_atom": 19.5, "lattice": [[-1.0710, -1.9379, 3.7146], [-1.7715, -5.9947, -3.6382], [6.7348, 0.9745, 2.4502]], "species": ["In", "Cu", "Cu", "Pt", "Pt", "Pt", "Pt", "Pt", "Pt", "Pt"], "fractional_positions": [[0.0000, 0.0000, 0.0000], [0.5000, 0.6994, 0.3006], [0.5000, 0.3006, 0.6994], [0.0000, 0.7947, 0.2053], [0.0000, 0.2053, 0.7947], [0.5000, 0.0754, 0.3007], [0.5000, 0.9246, 0.6993], [0.5000, 0.3007, 0.0754], [0.5000, 0.6993, 0.9246], [0.5000, 0.5000, 0.5000]]}


# 5
{"formula": "InCuPt5", "functional": "PBE", "state": "relaxed", "spacegroup": "Imm2 (44)", "m_tot_mub_per_fu": 0.00, "energy_ev_per_atom": -4.800, "vol_a3_per_atom": 24.7, "lattice": [[-6.3295, -0.7689, -3.7322], [-4.3692, -0.2462, 7.4604], [5.0676, 3.1969, -1.9403]], "species": ["In", "Cu", "Pt", "Pt", "Pt", "Pt", "Pt"], "fractional_positions": [[0.6911, 0.5000, 0.0000], [0.1730, 0.0000, 0.0000], [0.1193, 0.2467, 0.4934], [0.0823, 0.5000, 0.0000], [0.6259, 0.7533, 0.5066], [0.9196, 0.2540, 0.0000], [0.9196, 0.7460, 0.0000]]}


# 6
{"formula": "In2Cu2Pt7", "functional": "PBE", "state": "relaxed", "spacegroup": "Cmmm (65)", "m_tot_mub_per_fu": 0.00, "energy_ev_per_atom": -4.954, "vol_a3_per_atom": 18.4, "lattice": [[6.0604, -0.0029, -0.1464], [0.0020, 5.5383, 0.0029], [-0.5237, -0.0022, 6.0395]], "species": ["In", "In", "Cu", "Cu", "Pt", "Pt", "Pt", "Pt", "Pt", "Pt", "Pt"], "fractional_positions": [[0.8097, 0.5000, 0.8097], [0.1903, 0.5000, 0.1903], [0.7282, 0.0005, 0.2718], [0.2718, 0.9995, 0.7282], [0.0002, 0.2510, 0.5002], [0.5002, 0.7490, 0.0002], [0.9998, 0.7490, 0.4998], [0.4998, 0.2510, 0.9998], [0.0000, 0.0000, 0.0000], [0.5002, 0.7426, 0.4998], [0.4998, 0.2574, 0.5002]]}


# 7
{"formula": "InCuPt2", "functional": "PBE", "state": "relaxed", "spacegroup": "Cmmm (65)", "m_tot_mub_per_fu": 0.00, "energy_ev_per_atom": -5.035, "vol_a3_per_atom": 16.0, "lattice": [[6.4782, 0.0114, 0.0326], [-2.5650, 3.9653, -0.0046], [1.3483, 0.8771, 2.5011]], "species": ["Cu", "Pt", "Pt", "In"], "fractional_positions": [[0.0000, 0.5000, 0.5000], [0.0000, 0.0000, 0.0000], [0.5000, 0.0000, 0.5000], [0.5000, 0.5000, 0.0000]]}


# 8
{"formula": "InCuPt2", "functional": "PBE", "state": "relaxed", "spacegroup": "R-3m (166)", "m_tot_mub_per_fu": 0.00, "energy_ev_per_atom": -4.832, "vol_a3_per_atom": 16.4, "lattice": [[-1.3422, 4.4127, 7.4135], [-4.1513, 3.7570, 6.6997], [-2.4934, 1.7814, 8.1758]], "species": ["Cu", "In", "Pt", "Pt"], "fractional_positions": [[0.2500, 0.2500, 0.2500], [0.7500, 0.7500, 0.7500], [0.9952, 0.9952, 0.9952], [0.5048, 0.5048, 0.5048]]}


Please write out number 7 again, unchanged.
{"formula": "InCuPt2", "functional": "PBE", "state": "relaxed", "spacegroup": "Cmmm (65)", "m_tot_mub_per_fu": 0.00, "energy_ev_per_atom": -5.035, "vol_a3_per_atom": 16.0, "lattice": [[6.4782, 0.0114, 0.0326], [-2.5650, 3.9653, -0.0046], [1.3483, 0.8771, 2.5011]], "species": ["Cu", "Pt", "Pt", "In"], "fractional_positions": [[0.0000, 0.5000, 0.5000], [0.0000, 0.0000, 0.0000], [0.5000, 0.0000, 0.5000], [0.5000, 0.5000, 0.0000]]}


Which formula does entry 3 have?
In2CuPt


What is the formula in the fourth record?
InCu2Pt7